Density functional theory data (PBE) for a geometry-optimized Tb5YTmSc2 structure.

Its space group is Cmc2_1. The calculation puts the mass density at 6.78 g/cm³. As for the calculated formation energy: 0.179 eV per atom. For the total energy, the calculation gives -0.3687 Ry per atom.

Cell lengths 5.468, 10.251, 10.362 Å; angles 90.00, 90.00, 105.47 degrees
Atoms (fractional coordinates):
Tb 0.987 0.974 0.520
Tb 0.479 0.957 0.741
Tb 0.301 0.602 0.709
Tb 0.722 0.444 0.813
Tb 0.278 0.556 0.313
Tb 0.386 0.773 0.024
Tb 0.013 0.026 0.020
Tb 0.614 0.227 0.524
Tb 0.521 0.043 0.241
Tb 0.699 0.398 0.209
Y 0.805 0.610 0.513
Y 0.195 0.390 0.013
Sc 0.113 0.227 0.310
Sc 0.889 0.778 0.242
Sc 0.887 0.773 0.810
Sc 0.111 0.222 0.742
Tm 0.589 0.179 0.953
Tm 0.411 0.821 0.453